(1)
Material: Ba3SbSe4
Method: DFT, PBE-GGA
State: optimized geometry

extended XYZ file:
```
16
Lattice="6.6500 0.0000 0.0000 0.0000 6.6201 0.0000 0.0000 0.0000 12.8886" Properties=species:S:1:pos:R:3 pbc="T T T"
Se 0.4285 1.6604 9.8395
Se 3.7537 1.2125 6.4443
Se 0.4286 5.4076 0.0000
Se 3.7520 1.6714 0.0000
Se 0.4285 1.6604 3.0491
Se 3.7535 4.9598 9.4934
Se 0.4270 4.9487 6.4443
Se 3.7535 4.9598 3.3952
Ba 0.4285 4.9682 9.6356
Ba 3.7538 4.9967 0.0000
Ba 0.4285 4.9682 3.2530
Ba 3.7535 1.6520 9.6973
Ba 3.7535 1.6520 3.1913
Ba 0.4288 1.6235 6.4443
Sb 0.4282 1.5259 0.0000
Sb 3.7532 5.0943 6.4443
```

Calculated values
Crystal system: orthorhombic
E_form (uncorrected) in eV/atom: -1.488

=====

(2)
Material: KBaHoF6
Method: DFT, PBE-GGA
State: optimized geometry

extended XYZ file:
```
18
Lattice="6.4067 0.0000 0.0000 -3.2033 5.5483 0.0000 0.0000 0.0000 10.5166" Properties=species:S:1:pos:R:3 pbc="T T T"
Ho 3.2033 1.8494 2.6291
Ho 0.0000 3.6989 7.8874
F 0.8304 2.0660 9.0796
F -0.8304 2.0660 6.6953
F 4.0337 3.4824 3.8213
F 2.3730 3.4824 1.4370
F -0.9990 5.2345 6.6953
F 0.9990 5.2345 9.0796
F 1.3740 1.7521 3.8213
F 5.0327 1.7521 1.4370
F 1.8293 3.7962 6.6953
F -1.8293 3.7962 9.0796
F 4.2023 0.3138 3.8213
F 2.2044 0.3138 1.4370
Ba 0.0000 0.0000 0.0000
Ba 0.0000 0.0000 5.2583
K 3.2033 1.8494 7.8874
K 0.0000 3.6989 2.6291
```

Calculated values
Crystal system: trigonal
E_form (uncorrected) in eV/atom: -3.739

=====

(3)
Material: LaSc2
Method: DFT, PBE-GGA
State: optimized geometry

extended XYZ file:
```
6
Lattice="4.5556 0.0000 0.0000 2.2778 7.4249 0.0000 0.0000 0.0000 5.0242" Properties=species:S:1:pos:R:3 pbc="T T T"
Sc 2.2778 1.3285 3.7681
Sc 4.5556 3.6510 3.7681
Sc 4.5556 6.0964 1.2560
Sc 2.2778 3.7739 1.2560
La 2.2778 6.1749 3.7681
La 4.5556 1.2500 1.2560
```

Calculated values
Crystal system: orthorhombic
Energy above the most stable polymorph in this dataset in meV per atom: 25
DFT formation energy in eV per atom: 0.09

=====

(4)
Material: DyEr6In5
Method: DFT, PBE-GGA
State: optimized geometry

extended XYZ file:
```
12
Lattice="4.7314 0.0183 -1.3798 -1.1999 7.7023 -4.0117 0.0553 -0.2996 8.9874" Properties=species:S:1:pos:R:3 pbc="T T T"
Er 0.3020 3.2347 1.0785
Er 1.4927 5.6124 -3.6084
Er 3.2848 4.1863 2.5174
Er 3.8533 0.5378 4.4177
Er 2.0388 2.1082 -1.7832
Er -0.2665 6.8832 -0.8219
In -0.6000 3.8511 -2.0059
In 2.4128 5.1255 -0.4603
In 1.1740 2.2956 4.0562
In 2.9178 1.0887 1.2176
In 0.6690 6.3323 2.3783
Dy 0.0000 0.0000 0.0000
```

Calculated values
Crystal system: orthorhombic
DFT formation energy in eV per atom: -0.37

=====

(5)
Material: AlRu2Cl
Method: DFT, PBE-GGA
State: optimized geometry

extended XYZ file:
```
4
Lattice="-2.3361 -4.7761 -0.6337 -1.3430 -3.1151 4.1427 -0.4999 4.6871 -2.5398" Properties=species:S:1:pos:R:3 pbc="T T T"
Al -1.8109 -3.8841 1.7272
Ru -0.0550 -0.1181 0.0525
Ru -2.3743 -2.0957 -0.6746
Cl -1.7783 -1.0518 1.6187
```

Calculated values
Crystal system: orthorhombic
E_form (uncorrected) in eV/atom: 0.334
Energy above the most stable polymorph in this dataset in meV per atom: 439

=====

(6)
Material: ErInBi
Method: DFT, PBE-GGA
State: optimized geometry

extended XYZ file:
```
3
Lattice="3.3829 0.0000 0.0000 0.0000 5.4157 0.0000 0.0000 -2.7079 4.6901" Properties=species:S:1:pos:R:3 pbc="T T T"
Bi 0.4996 0.0000 0.0000
In 0.6346 0.0000 3.1268
Er 2.2487 2.7079 1.5634
```

Calculated values
Crystal system: trigonal
DFT formation energy in eV per atom: -0.23

=====

(7)
Material: CdSbIr2
Method: DFT, PBE-GGA
State: optimized geometry

extended XYZ file:
```
4
Lattice="3.0838 0.0000 0.0000 0.0000 3.6407 0.0000 0.0000 0.0000 6.2233" Properties=species:S:1:pos:R:3 pbc="T T T"
Ir 0.0000 0.0000 3.0453
Ir 0.0000 0.0000 0.0664
Sb 1.5419 1.8204 1.5558
Cd 1.5419 1.8204 4.6675
```

Calculated values
Crystal system: orthorhombic
E_form (uncorrected) in eV/atom: 0.169
Energy above the most stable polymorph in this dataset in meV per atom: 9

=====

(8)
Material: Ag2MoCl
Method: DFT, PBE-GGA
State: optimized geometry

extended XYZ file:
```
4
Lattice="9.8836 -0.0265 -0.0156 9.4330 2.9504 -0.0156 9.4330 1.4278 2.5819" Properties=species:S:1:pos:R:3 pbc="T T T"
Ag 7.5230 1.1387 0.6675
Ag 0.2087 0.0316 0.0185
Mo 21.6414 3.2757 1.9201
Cl 13.7514 2.0815 1.2201
```

Calculated values
Crystal system: trigonal
E_form (uncorrected) in eV/atom: 0.113
Energy above the most stable polymorph in this dataset in meV per atom: 0

=====

(9)
Material: RbY3Mn
Method: DFT, PBE-GGA
State: optimized geometry

extended XYZ file:
```
5
Lattice="-1.5782 -5.2177 0.8715 5.0734 -1.7505 -1.2928 1.4982 0.4313 5.2957" Properties=species:S:1:pos:R:3 pbc="T T T"
Y 0.7491 0.2157 2.6478
Y -0.7891 -2.6089 0.4357
Y 2.5367 -0.8752 -0.6464
Rb 2.4967 -3.2684 2.4372
Mn 0.0000 0.0000 0.0000
```

Calculated values
Crystal system: cubic
Energy above the most stable polymorph in this dataset in meV per atom: 0
DFT formation energy in eV per atom: 0.43

=====

(10)
Material: GeSN
Method: DFT, PBE-GGA
State: optimized geometry

extended XYZ file:
```
12
Lattice="-2.1524 -3.0740 -2.0372 -0.2459 -1.6513 2.7515 -10.0897 7.4845 3.5901" Properties=species:S:1:pos:R:3 pbc="T T T"
S -6.0621 2.7637 2.9992
S -3.4174 -1.5438 0.6503
S -0.8943 -0.1528 -0.1716
S -8.3394 3.0241 1.0696
Ge -8.3530 5.9887 2.8476
Ge -11.1505 4.8430 3.7923
Ge -3.4311 1.4208 2.4283
Ge -5.9827 1.9265 0.6215
N -9.2460 4.6435 3.8428
N -4.0782 1.7269 0.6720
N -11.4620 4.5411 1.7011
N -6.5400 -0.0267 1.2818
```

Calculated values
Crystal system: monoclinic
E_form (uncorrected) in eV/atom: 0.234
Energy above the most stable polymorph in this dataset in meV per atom: 168

=====

(11)
Material: Y6Tm2Se3
Method: DFT, PBE-GGA
State: optimized geometry

extended XYZ file:
```
11
Lattice="3.7888 0.0000 0.3756 1.8758 3.2919 0.3756 -0.5776 -0.3357 25.1229" Properties=species:S:1:pos:R:3 pbc="T T T"
Tm 2.9578 1.7189 8.7579
Tm 2.1292 1.2373 17.1162
Se 0.0000 0.0000 0.0000
Se 1.5288 0.8884 3.8756
Se 3.5581 2.0678 21.9985
Y 1.4927 0.8674 23.5365
Y 5.1202 2.9755 6.2427
Y -0.0332 -0.0193 19.6314
Y 0.7933 0.4610 11.2942
Y 3.5943 2.0888 2.3376
Y 4.2936 2.4952 14.5799
```

Calculated values
Crystal system: trigonal
E_form (uncorrected) in eV/atom: -0.887

=====

(12)
Material: SnN2O2
Method: DFT, PBE-GGA
State: optimized geometry

extended XYZ file:
```
5
Lattice="4.2837 0.0000 0.0000 0.0000 4.2837 0.0000 0.0000 0.0000 4.0995" Properties=species:S:1:pos:R:3 pbc="T T T"
N 2.1419 0.0000 0.0000
N 0.0000 2.1419 0.0000
O 0.0000 0.0000 2.0497
O 2.1419 2.1419 2.0497
Sn 0.0000 0.0000 0.0000
```

Calculated values
Crystal system: tetragonal
E_form (uncorrected) in eV/atom: 1.608
Energy above the most stable polymorph in this dataset in meV per atom: 2475